[1]
VASP calculation (PBE-GGA) on a geometry-optimized SbPRh2Pb structure.

Lattice parameters (Å, degrees): 4.8374 5.8019 4.8374 90.00 90.00 90.00
Fractional coordinates of all 5 atoms:
Sb 0.0000 0.0000 0.0000
P 0.5000 0.5000 0.5000
Rh 0.5000 0.0000 0.0000
Rh 0.0000 0.0000 0.5000
Pb 0.0000 0.5000 0.0000

Computed properties:
**Formation energy from raw total energies**: 5.633 eV/f.u.

[2]
VASP calculation (PBE-GGA) on a geometry-optimized Sm4P3Rh12Pb structure.

Lattice parameters (Å, degrees): 7.9460 7.9460 7.9460 109.47 109.47 109.47
Fractional coordinates of all 20 atoms:
Rh 0.2500 0.7500 0.5000
Rh 0.7500 0.2500 0.5000
Rh 0.7284 0.0000 0.7284
Rh 0.2716 0.0000 0.2716
Rh 0.5000 0.7500 0.2500
Rh 0.7284 0.7284 0.0000
Rh 0.0000 0.7284 0.7284
Rh 0.7500 0.5000 0.2500
Rh 0.0000 0.2716 0.2716
Rh 0.2716 0.2716 0.0000
Rh 0.5000 0.2500 0.7500
Rh 0.2500 0.5000 0.7500
Sm 0.5000 0.5000 0.5000
Sm 0.5000 0.0000 0.0000
Sm 0.0000 0.5000 0.0000
Sm 0.0000 0.0000 0.5000
P 0.5000 0.0000 0.5000
P 0.5000 0.5000 0.0000
P 0.0000 0.5000 0.5000
Pb 0.0000 0.0000 0.0000

Computed properties:
**ΔH_f (0 K)**: -0.44 eV per atom

[3]
VASP calculation (PBE-GGA) on a geometry-optimized Sm2P3Rh12Pb structure.

Lattice parameters (Å, degrees): 7.3031 7.3031 7.3031 69.08 69.08 69.08
Fractional coordinates of all 18 atoms:
Rh 0.1484 0.1484 0.6079
Rh 0.8516 0.8516 0.3921
Rh 0.6654 0.6654 0.0930
Rh 0.6654 0.0930 0.6654
Rh 0.8516 0.3921 0.8516
Rh 0.3921 0.8516 0.8516
Rh 0.3346 0.3346 0.9070
Rh 0.3346 0.9070 0.3346
Rh 0.9070 0.3346 0.3346
Rh 0.6079 0.1484 0.1484
Rh 0.0930 0.6654 0.6654
Rh 0.1484 0.6079 0.1484
P 0.5000 0.0000 0.0000
P 0.0000 0.0000 0.5000
P 0.0000 0.5000 0.0000
Sm 0.5978 0.5978 0.5978
Sm 0.4022 0.4022 0.4022
Pb 0.0000 0.0000 0.0000

Computed properties:
**ΔH_f (0 K)**: -0.19 eV per atom